The following is a DFT calculation (PBE) of a geometry-optimized K4Rb3Bi2 structure.

space group	C2/m
energy	-17.340	eV for the cell shown

Cell lengths 6.2828, 6.2962, 12.2712 Å; angles 89.74, 90.00, 60.07 degrees
Last column: nearest neighbours and their distance in Å.
Sites, in units of the cell vectors:
K  0.6664  0.6671  0.8936  4 Rb 3.86-3.92, 4 Bi 3.86-3.93
K  0.0000  0.0000  0.2997  4 Rb 3.68-3.95, 3 Bi 3.78-3.79
K  0.0000  0.0000  0.7003  4 Rb 3.68-3.95, 3 Bi 3.78-3.79
K  0.3336  0.3329  0.1064  4 Rb 3.86-3.92, 4 Bi 3.86-3.93
Rb  0.3329  0.3342  0.4260  4 K 3.92-3.95, 3 Rb 4.06-4.07
Rb  0.0000  0.0000  0.0000  8 K 3.68-3.86
Rb  0.6671  0.6658  0.5740  4 K 3.92-3.95, 3 Rb 4.06-4.07
Bi  0.3330  0.3340  0.7864  7 K 3.78-3.93
Bi  0.6670  0.6660  0.2136  7 K 3.78-3.93